# PBE MnCu2Pt, optimized geometry
data_MnCu2Pt
_symmetry_space_group_name_H-M 'P m m m'
_symmetry_Int_Tables_number 47
_cell_length_a 2.806
_cell_length_b 3.643
_cell_length_c 5.317
_cell_angle_alpha 90.00
_cell_angle_beta 90.00
_cell_angle_gamma 90.00
loop_
_symmetry_equiv_pos_as_xyz
'x,y,z'
'-x,-y,-z'
'-x,-y,z'
'x,y,-z'
'x,-y,-z'
'-x,y,z'
'-x,y,-z'
'x,-y,z'
loop_
_atom_site_label
_atom_site_fract_x
_atom_site_fract_y
_atom_site_fract_z
Mn1 0.000 0.000 0.000
Cu1 0.500 0.500 0.245
Pt1 0.000 0.000 0.500
# Formation energy ... -0.10 eV per atom
# M_tot ... 1.061 μB per atom
# Mass density ... 11.5 g/cm3